# SmHgS3 (PBE, optimized geometry)
# * E_form (uncorrected): -4.3 eV per formula unit
# * magnetic moment: 0.00 μB per formula unit
data_SmHgS3
_space_group_name_H-M_alt 'P -1'
_space_group_IT_number 2
_space_group_name_Hall '-P 1'
_cell_length_a 5.4090
_cell_length_b 7.2420
_cell_length_c 7.6655
_cell_angle_alpha 67.57
_cell_angle_beta 72.39
_cell_angle_gamma 80.62
loop_
_atom_site_label
_atom_site_type_symbol
_atom_site_fract_x
_atom_site_fract_y
_atom_site_fract_z
_atom_site_occupancy
Sm1 Sm 0.1826 0.4981 0.2213 1
Hg1 Hg 0.3281 0.0085 0.7919 1
S1 S 0.0383 0.2225 0.5990 1
S2 S 0.2866 0.6194 0.8024 1
S3 S 0.4063 0.2339 0.9821 1